No. 1
A plane-wave DFT calculation with PBE was carried out for an optimized crystal structure of CaTbAlCd.

Values from the calculation:
**Magnetization**: 0.0 μB/f.u.
**V**: 25.9 Å³ per atom
**Space-group type**: No. 216
**Excess energy over the best structure of this formula in the dataset**: 5 meV/atom
**Calculated formation energy**: -1.28 eV per formula unit
**DOS(E_F)**: 1.57 states/eV/f.u.

a = 5.271 Å, b = 5.271 Å, c = 5.271 Å
α = 60.00°, β = 60.00°, γ = 60.00°
Element x y z (fractional)
Ca 0.000 0.000 0.000
Tb 0.500 0.500 0.500
Al 0.750 0.750 0.750
Cd 0.250 0.250 0.250

=====

No. 2
A plane-wave DFT calculation with PBE was carried out for an optimized crystal structure of Sc2GeRu.

Values from the calculation:
**Magnetization**: 0.0 μB/f.u.
**V**: 19.1 Å³ per atom
**Space-group type**: No. 122
**Calculated formation energy**: -0.50 eV per formula unit
**DOS(E_F)**: 0.53 states/eV/f.u.

a = 5.921 Å, b = 5.921 Å, c = 5.921 Å
α = 102.94°, β = 102.94°, γ = 123.50°
Element x y z (fractional)
Sc 0.086 0.125 0.461
Sc 0.375 0.914 0.039
Sc 0.664 0.625 0.539
Sc 0.875 0.336 0.961
Ge 0.250 0.750 0.500
Ge 0.500 0.500 0.000
Ru 0.000 0.000 0.000
Ru 0.750 0.250 0.500

=====

No. 3
A plane-wave DFT calculation with PBE was carried out for an optimized crystal structure of NiAg5.

Values from the calculation:
**Magnetization**: 0.0 μB/f.u.
**V**: 16.8 Å³ per atom
**Space-group type**: No. 8
**Excess energy over the best structure of this formula in the dataset**: 0 meV/atom
**Calculated formation energy**: 0.83 eV per formula unit
**DOS(E_F)**: 3.85 states/eV/f.u.

a = 5.475 Å, b = 5.475 Å, c = 6.822 Å
α = 106.86°, β = 106.86°, γ = 31.21°
Element x y z (fractional)
Ni 0.000 0.000 0.000
Ag 0.302 0.302 0.076
Ag 0.332 0.332 0.675
Ag 0.616 0.616 0.765
Ag 0.662 0.662 0.312
Ag 0.960 0.960 0.415

=====

No. 4
A plane-wave DFT calculation with PBE was carried out for an optimized crystal structure of BaZrCr2.

Values from the calculation:
**Magnetization**: 7.7 μB/f.u.
**V**: 23.9 Å³ per atom
**Space-group type**: No. 216
**Excess energy over the best structure of this formula in the dataset**: 574 meV/atom
**Calculated formation energy**: 4.56 eV per formula unit
**DOS(E_F)**: 9.26 states/eV/f.u.

a = 5.135 Å, b = 5.135 Å, c = 5.135 Å
α = 60.00°, β = 60.00°, γ = 60.00°
Element x y z (fractional)
Ba 0.000 0.000 0.000
Zr 0.250 0.250 0.250
Cr 0.500 0.500 0.500
Cr 0.750 0.750 0.750

=====

No. 5
A plane-wave DFT calculation with PBE was carried out for an optimized crystal structure of CaBeOs.

Values from the calculation:
**Magnetization**: 0.0 μB/f.u.
**V**: 17.6 Å³ per atom
**Space-group type**: No. 216
**Excess energy over the best structure of this formula in the dataset**: 686 meV/atom
**Calculated formation energy**: 2.19 eV per formula unit
**DOS(E_F)**: 3.37 states/eV/f.u.

a = 4.208 Å, b = 4.208 Å, c = 4.208 Å
α = 60.00°, β = 60.00°, γ = 60.00°
Element x y z (fractional)
Ca 0.000 0.000 0.000
Be 0.250 0.250 0.250
Os 0.500 0.500 0.500

=====

No. 6
A plane-wave DFT calculation with PBE was carried out for an optimized crystal structure of CuRe2Os.

Values from the calculation:
**Magnetization**: 0.0 μB/f.u.
**V**: 14.2 Å³ per atom
**Space-group type**: No. 119
**Excess energy over the best structure of this formula in the dataset**: 84 meV/atom
**Calculated formation energy**: 1.12 eV per formula unit
**DOS(E_F)**: 3.22 states/eV/f.u.

a = 4.700 Å, b = 4.700 Å, c = 4.700 Å
α = 131.61°, β = 131.61°, γ = 70.84°
Element x y z (fractional)
Cu 0.000 0.000 0.000
Re 0.500 0.500 0.000
Re 0.750 0.250 0.500
Os 0.250 0.750 0.500

=====

No. 7
A plane-wave DFT calculation with PBE was carried out for an optimized crystal structure of GdDySc2.

Values from the calculation:
**Magnetization**: 7.0 μB/f.u.
**V**: 28.0 Å³ per atom
**Space-group type**: No. 225
**Excess energy over the best structure of this formula in the dataset**: 28 meV/atom
**Calculated formation energy**: 0.32 eV per formula unit
**DOS(E_F)**: 6.07 states/eV/f.u.

a = 5.409 Å, b = 5.409 Å, c = 5.409 Å
α = 60.00°, β = 60.00°, γ = 60.00°
Element x y z (fractional)
Gd 0.000 0.000 0.000
Dy 0.500 0.500 0.500
Sc 0.250 0.250 0.250
Sc 0.750 0.750 0.750

=====

No. 8
A plane-wave DFT calculation with PBE was carried out for an optimized crystal structure of In2RhPb.

Values from the calculation:
**Magnetization**: 0.0 μB/f.u.
**V**: 24.5 Å³ per atom
**Space-group type**: No. 10
**Calculated formation energy**: 0.17 eV per formula unit
**DOS(E_F)**: 2.08 states/eV/f.u.

a = 4.193 Å, b = 4.509 Å, c = 5.565 Å
α = 90.00°, β = 111.14°, γ = 90.00°
Element x y z (fractional)
In 0.137 0.000 0.286
In 0.863 0.000 0.714
Rh 0.500 0.500 0.500
Pb 0.500 0.500 0.000

=====

No. 9
A plane-wave DFT calculation with PBE was carried out for an optimized crystal structure of MoIr2Cl.

Values from the calculation:
**Magnetization**: 0.0 μB/f.u.
**V**: 17.3 Å³ per atom
**Space-group type**: No. 99
**Excess energy over the best structure of this formula in the dataset**: 71 meV/atom
**DOS(E_F)**: 4.52 states/eV/f.u.
**Formation energy (no corrections)**: 0.276 eV/atom

a = 2.802 Å, b = 2.802 Å, c = 8.832 Å
α = 90.00°, β = 90.00°, γ = 90.00°
Element x y z (fractional)
Mo 0.000 0.000 0.000
Ir 0.000 0.000 0.572
Ir 0.500 0.500 0.790
Cl 0.500 0.500 0.185

=====

No. 10
A plane-wave DFT calculation with PBE was carried out for an optimized crystal structure of AcSi2TcNi.

Values from the calculation:
**Magnetization**: 0.0 μB/f.u.
**V**: 18.6 Å³ per atom
**Space-group type**: No. 119
**DOS(E_F)**: 3.36 states/eV/f.u.
**Formation energy (no corrections)**: -0.625 eV/atom

a = 6.143 Å, b = 6.143 Å, c = 6.143 Å
α = 140.49°, β = 140.49°, γ = 57.11°
Element x y z (fractional)
Ac 0.000 0.000 0.000
Si 0.360 0.360 0.000
Si 0.640 0.640 0.000
Tc 0.750 0.250 0.500
Ni 0.250 0.750 0.500

=====

No. 11
A plane-wave DFT calculation with PBE was carried out for an optimized crystal structure of Rb3TlBr8.

Values from the calculation:
**Magnetization**: 1.5 μB/f.u.
**V**: 40.4 Å³ per atom
**Space-group type**: No. 139
**DOS(E_F)**: 17.56 states/eV/f.u.
**Formation energy (no corrections)**: -0.808 eV/atom

a = 9.820 Å, b = 9.820 Å, c = 9.820 Å
α = 133.82°, β = 133.82°, γ = 67.38°
Element x y z (fractional)
Rb 0.000 0.000 0.000
Rb 0.250 0.750 0.500
Rb 0.750 0.250 0.500
Tl 0.500 0.500 0.000
Br 0.166 0.166 0.553
Br 0.166 0.613 0.000
Br 0.387 0.387 0.553
Br 0.387 0.834 0.000
Br 0.613 0.166 0.000
Br 0.613 0.613 0.447
Br 0.834 0.387 0.000
Br 0.834 0.834 0.447

=====

No. 12
A plane-wave DFT calculation with PBE was carried out for an optimized crystal structure of Pa3TlB.

Values from the calculation:
**Magnetization**: 0.0 μB/f.u.
**V**: 23.6 Å³ per atom
**Space-group type**: No. 221
**Calculated formation energy**: 0.26 eV per formula unit
**DOS(E_F)**: 8.92 states/eV/f.u.

a = 4.908 Å, b = 4.908 Å, c = 4.908 Å
α = 90.00°, β = 90.00°, γ = 90.00°
Element x y z (fractional)
Pa 0.000 0.000 0.500
Pa 0.000 0.500 0.000
Pa 0.500 0.000 0.000
Tl 0.500 0.500 0.500
B 0.000 0.000 0.000

=====

No. 13
A plane-wave DFT calculation with PBE was carried out for an optimized crystal structure of CaAl2ZnPb.

Values from the calculation:
**Magnetization**: 0.0 μB/f.u.
**V**: 25.4 Å³ per atom
**Space-group type**: No. 123
**Calculated formation energy**: 0.86 eV per formula unit
**DOS(E_F)**: 3.45 states/eV/f.u.

a = 4.799 Å, b = 4.799 Å, c = 5.514 Å
α = 90.00°, β = 90.00°, γ = 90.00°
Element x y z (fractional)
Ca 0.000 0.000 0.000
Al 0.000 0.500 0.500
Al 0.500 0.000 0.500
Zn 0.000 0.000 0.500
Pb 0.500 0.500 0.000

=====

No. 14
A plane-wave DFT calculation with PBE was carried out for an optimized crystal structure of Ca4TlTc.

Values from the calculation:
**Magnetization**: 2.1 μB/f.u.
**V**: 30.4 Å³ per atom
**Space-group type**: No. 216
**Calculated formation energy**: 4.95 eV per formula unit
**DOS(E_F)**: 6.96 states/eV/f.u.

a = 6.363 Å, b = 6.363 Å, c = 6.363 Å
α = 60.00°, β = 60.00°, γ = 60.00°
Element x y z (fractional)
Ca 0.124 0.124 0.124
Ca 0.124 0.124 0.629
Ca 0.124 0.629 0.124
Ca 0.629 0.124 0.124
Tl 0.500 0.500 0.500
Tc 0.750 0.750 0.750

=====

No. 15
A plane-wave DFT calculation with PBE was carried out for an optimized crystal structure of La2TlNiRh.

Values from the calculation:
**Magnetization**: 0.6 μB/f.u.
**V**: 28.4 Å³ per atom
**Space-group type**: No. 123
**Calculated formation energy**: -0.79 eV per formula unit
**DOS(E_F)**: 6.61 states/eV/f.u.

a = 5.482 Å, b = 5.482 Å, c = 4.732 Å
α = 90.00°, β = 90.00°, γ = 90.00°
Element x y z (fractional)
La 0.000 0.500 0.000
La 0.500 0.000 0.000
Tl 0.000 0.000 0.500
Ni 0.500 0.500 0.500
Rh 0.500 0.500 0.000

=====

No. 16
A plane-wave DFT calculation with PBE was carried out for an optimized crystal structure of KZnRu.

Values from the calculation:
**Magnetization**: 1.1 μB/f.u.
**V**: 24.0 Å³ per atom
**Space-group type**: No. 216
**Excess energy over the best structure of this formula in the dataset**: 756 meV/atom
**Calculated formation energy**: 3.82 eV per formula unit
**DOS(E_F)**: 6.71 states/eV/f.u.

a = 4.668 Å, b = 4.668 Å, c = 4.668 Å
α = 60.00°, β = 60.00°, γ = 60.00°
Element x y z (fractional)
K 0.000 0.000 0.000
Zn 0.500 0.500 0.500
Ru 0.750 0.750 0.750

=====

No. 17
A plane-wave DFT calculation with PBE was carried out for an optimized crystal structure of NaCrPb3.

Values from the calculation:
**Magnetization**: 0.0 μB/f.u.
**V**: 29.2 Å³ per atom
**Space-group type**: No. 221
**Excess energy over the best structure of this formula in the dataset**: 0 meV/atom
**Calculated formation energy**: 1.47 eV per formula unit
**DOS(E_F)**: 3.51 states/eV/f.u.

a = 5.269 Å, b = 5.269 Å, c = 5.269 Å
α = 90.00°, β = 90.00°, γ = 90.00°
Element x y z (fractional)
Na 0.000 0.000 0.000
Cr 0.500 0.500 0.500
Pb 0.000 0.500 0.500
Pb 0.500 0.000 0.500
Pb 0.500 0.500 0.000

=====

No. 18
A plane-wave DFT calculation with PBE was carried out for an optimized crystal structure of RbSiTc2.

Values from the calculation:
**Magnetization**: 0.8 μB/f.u.
**V**: 25.7 Å³ per atom
**Space-group type**: No. 141
**DOS(E_F)**: 4.26 states/eV/f.u.
**Formation energy (no corrections)**: 1.037 eV/atom

a = 9.375 Å, b = 9.375 Å, c = 9.375 Å
α = 150.00°, β = 150.00°, γ = 42.94°
Element x y z (fractional)
Rb 0.375 0.625 0.750
Rb 0.625 0.375 0.250
Si 0.125 0.875 0.250
Si 0.875 0.125 0.750
Tc 0.000 0.000 0.000
Tc 0.000 0.000 0.500
Tc 0.000 0.500 0.000
Tc 0.500 0.000 0.500

=====

No. 19
A plane-wave DFT calculation with PBE was carried out for an optimized crystal structure of Cd2CuRu.

Values from the calculation:
**Magnetization**: 0.9 μB/f.u.
**V**: 16.9 Å³ per atom
**Space-group type**: No. 8
**Excess energy over the best structure of this formula in the dataset**: 40 meV/atom
**Calculated formation energy**: 1.00 eV per formula unit
**DOS(E_F)**: 2.35 states/eV/f.u.

a = 5.376 Å, b = 5.376 Å, c = 4.862 Å
α = 111.96°, β = 111.96°, γ = 31.53°
Element x y z (fractional)
Cd 0.000 0.000 0.000
Cd 0.224 0.224 0.619
Cu 0.470 0.470 0.482
Ru 0.755 0.755 0.138

=====

No. 20
A plane-wave DFT calculation with PBE was carried out for an optimized crystal structure of LaTlInPd3.

Values from the calculation:
**Magnetization**: 0.0 μB/f.u.
**V**: 22.2 Å³ per atom
**Space-group type**: No. 63
**Calculated formation energy**: -2.51 eV per formula unit
**DOS(E_F)**: 3.08 states/eV/f.u.

a = 7.585 Å, b = 7.585 Å, c = 6.451 Å
α = 90.00°, β = 90.00°, γ = 134.01°
Element x y z (fractional)
La 0.158 0.842 0.750
La 0.842 0.158 0.250
Tl 0.159 0.841 0.250
Tl 0.841 0.159 0.750
In 0.393 0.607 0.750
In 0.607 0.393 0.250
Pd 0.236 0.236 0.000
Pd 0.236 0.236 0.500
Pd 0.361 0.639 0.250
Pd 0.639 0.361 0.750
Pd 0.764 0.764 0.000
Pd 0.764 0.764 0.500